# 1
Entry from Alexandria via LeMat-Bulk: a relaxed structure of LaTbHoTh (PBE).

Calculated values
Total magnetic moment, μB per formula unit: 0.000
Density of states at the Fermi level, states/eV/cell: 4.4
Energy of formation from the pure elements, meV per atom: 17
Symmetry: P4mm (99)

Cell: 3.613 3.613 10.125 Å, 90.00 90.00 90.00°
Sites, in units of the cell vectors:
1 La 0.000 0.000 0.000
2 Tb 0.500 0.500 0.736
3 Ho 0.500 0.500 0.261
4 Th 0.000 0.000 0.497

# 2
Entry from Alexandria via LeMat-Bulk: a relaxed structure of Sr3In2AgHg6 (PBE).

Calculated values
Total magnetic moment, μB per formula unit: 0.000
Density of states at the Fermi level, states/eV/cell: 6.0
Energy of formation from the pure elements, meV per atom: -274
Symmetry: P-3m1 (164)

Cell: 6.485 6.485 9.570 Å, 90.00 90.00 120.00°
Sites, in units of the cell vectors:
1 Sr 0.000 0.000 0.000
2 Sr 0.333 0.667 0.608
3 Sr 0.667 0.333 0.392
4 In 0.333 0.667 0.986
5 In 0.667 0.333 0.014
6 Ag 0.000 0.000 0.500
7 Hg 0.176 0.351 0.275
8 Hg 0.176 0.824 0.275
9 Hg 0.351 0.176 0.725
10 Hg 0.649 0.824 0.275
11 Hg 0.824 0.176 0.725
12 Hg 0.824 0.649 0.725

# 3
Entry from Alexandria via LeMat-Bulk: a relaxed structure of K2YO (PBE).

Calculated values
Total magnetic moment, μB per formula unit: 0.000
Density of states at the Fermi level, states/eV/cell: 5.1
Energy relative to the elements, uncorrected, eV/atom: -0.93
Symmetry: I-42d (122)

Cell: 9.243 9.243 9.243 Å, 93.09 93.09 153.15°
Sites, in units of the cell vectors:
1 K 0.375 0.220 0.345
2 K 0.780 0.125 0.155
3 K 0.875 0.030 0.655
4 K 0.970 0.625 0.845
5 Y 0.250 0.750 0.500
6 Y 0.500 0.500 0.000
7 O 0.000 0.000 0.000
8 O 0.750 0.250 0.500

# 4
Entry from Alexandria via LeMat-Bulk: a relaxed structure of TcNiRuI2 (PBE).

Calculated values
Total magnetic moment, μB per formula unit: 6.375
Density of states at the Fermi level, states/eV/cell: 3.8
Energy relative to the elements, uncorrected, eV/atom: 1.48
Symmetry: P4/mmm (123)

Cell: 5.054 5.054 4.723 Å, 90.00 90.00 90.00°
Sites, in units of the cell vectors:
1 Tc 0.000 0.000 0.000
2 Ni 0.500 0.500 0.500
3 Ru 0.500 0.500 0.000
4 I 0.000 0.500 0.500
5 I 0.500 0.000 0.500

# 5
Entry from Alexandria via LeMat-Bulk: a relaxed structure of CaCe3Sm4Se8 (PBE).

Calculated values
Total magnetic moment, μB per formula unit: 3.069
Density of states at the Fermi level, states/eV/cell: 21.6
Energy relative to the elements, uncorrected, eV/atom: -1.87
Symmetry: C2/m (12)

Cell: 8.383 8.383 8.381 Å, 119.91 119.91 60.09°
Sites, in units of the cell vectors:
1 Ca 0.000 0.000 0.000
2 Ce 0.000 0.500 0.500
3 Ce 0.500 0.000 0.500
4 Ce 0.500 0.500 0.000
5 Sm 0.000 0.000 0.500
6 Sm 0.000 0.500 0.000
7 Sm 0.500 0.000 0.000
8 Sm 0.500 0.500 0.500
9 Se 0.246 0.752 0.249
10 Se 0.248 0.248 0.750
11 Se 0.248 0.754 0.751
12 Se 0.249 0.249 0.247
13 Se 0.751 0.751 0.753
14 Se 0.752 0.246 0.249
15 Se 0.752 0.752 0.250
16 Se 0.754 0.248 0.751

# 6
Entry from Alexandria via LeMat-Bulk: a relaxed structure of Na3BF (PBE).

Calculated values
Total magnetic moment, μB per formula unit: 0.001
Density of states at the Fermi level, states/eV/cell: 2.1
Energy relative to the elements, uncorrected, eV/atom: -0.35
Symmetry: Pm-3m (221)

Cell: 4.499 4.499 4.499 Å, 90.00 90.00 90.00°
Sites, in units of the cell vectors:
1 Na 0.000 0.000 0.500
2 Na 0.000 0.500 0.000
3 Na 0.500 0.000 0.000
4 B 0.500 0.500 0.500
5 F 0.000 0.000 0.000